VASP calculation (meta-GGA SCAN) on a PBEsol-optimized structure of Ba3MgCo.

Summary:
final energy: -27.835 eV per atom
DOS(E_F): 4.47 states/eV per cell
calculated formation energy: 350 meV per atom
total magnetic moment: 0.10 μB per atom
SG: No. 221

Cell: 5.802 5.802 5.802 Å, 90.00 90.00 90.00°
Fractional positions:
Mg: 0.500 0.500 0.500
Ba: 0.000 0.000 0.500
Ba: 0.500 0.000 0.000
Ba: 0.000 0.500 0.000
Co: 0.000 0.000 0.000